A relaxed NiRhO3 crystal. Source: Alexandria, functional PBE+U.

Cell and atoms, written as POSCAR:
```
NiRhO3
1.0
3.703 0.000 0.000
0.000 3.703 0.000
0.000 0.000 3.703
O Ni Rh
3 1 1
Direct
0.500 0.000 0.000 O
0.000 0.000 0.500 O
0.000 0.500 0.000 O
0.000 0.000 0.000 Ni
0.500 0.500 0.500 Rh
```

Size of the total moment: 4.88 μB per formula unit
DOS(E_F): 3.43 states/eV/f.u.
Energy: -4.7599 eV/atom